# 1
A relaxed CrCoReGe crystal. Source: the Alexandria database, functional PBE.

Unit cell a=5.924 b=5.924 c=5.924 alpha=90.00 beta=90.00 gamma=90.00
Space group F-43m (No. 216)
Unique sites:
Cr 0.000 0.000 0.000 (multiplicity 4)
Co 0.250 0.250 0.250 (multiplicity 4)
Re 0.250 0.250 0.750 (multiplicity 4)
Ge 0.000 0.000 0.500 (multiplicity 4)

Computed properties:
E_tot (eV per cell): -134.47
Calculated volume (Å³/atom): 12.99

---

# 2
A relaxed SrTb4SmS8 crystal. Source: the Alexandria database, functional PBE.

Unit cell a=8.2026 b=8.2026 c=20.2201 alpha=90.00 beta=90.00 gamma=120.00
Space group R3m (No. 160, hexagonal axes)
Unique sites:
Sr 0.0000 0.0000 0.0000 (multiplicity 3)
Tb 0.0000 0.0000 0.2509 (multiplicity 3)
Tb 0.1690 0.3381 0.4584 (multiplicity 9)
Sm 0.0000 0.0000 0.6274 (multiplicity 3)
S 0.0000 0.0000 0.3834 (multiplicity 3)
S 0.0000 0.0000 0.8615 (multiplicity 3)
S 0.0344 0.5172 0.3819 (multiplicity 9)
S 0.1753 0.3506 0.2051 (multiplicity 9)

Computed properties:
Formation energy (no corrections) (eV per atom): -1.99
Calculated volume (Å³/atom): 28.05

---

# 3
A relaxed Rb2GePbBr6 crystal. Source: the Alexandria database, functional PBE.

Unit cell a=7.907 b=8.196 c=13.816 alpha=90.00 beta=124.61 gamma=90.00
Space group P2_1/c (No. 14)
Unique sites:
Rb 0.229 0.065 0.249 (multiplicity 4)
Ge 0.000 0.000 0.500 (multiplicity 2)
Pb 0.500 0.000 0.000 (multiplicity 2)
Br 0.148 0.214 0.956 (multiplicity 4)
Br 0.246 0.696 0.957 (multiplicity 4)
Br 0.325 0.017 0.740 (multiplicity 4)

Computed properties:
E above lowest polymorph (meV/atom): 0
Formation energy (no corrections) (eV per atom): -1.16
Calculated volume (Å³/atom): 36.85